DFT (PBE-GGA) results for a relaxed FeMo2Se crystal.

Results
Volume: 61.22 Å³/cell
Energy: -8.102 eV per atom
Space group: C2/m
Formation energy from raw total energies: 0.30 eV/atom

a b c (Å): 4.696 4.696 4.512
angles (deg): 80.61 80.61 38.65
Positions (direct):
Mo1 0.992 0.992 0.023
Mo2 0.508 0.508 0.477
Fe1 0.250 0.250 0.250
Se1 0.750 0.750 0.750